Density functional theory data (PBE+U) for an optimized crystal structure of LiMnCoF6.

Output
As for the theoretical density: 3.83 Mg/m³. The electronic total energy comes out at -5.19 eV per atom. The space-group type is No. 102.

Structure (POSCAR):
```
LiMnCoF6
1.0
4.6978 0.0000 0.0000
0.0000 4.6978 0.0000
0.0000 0.0000 9.2254
Li Mn Co F
2 2 2 12
direct
0.0000 0.0000 0.0000
0.5000 0.5000 0.5000
0.0000 0.0000 0.6660
0.5000 0.5000 0.1660
0.0000 0.0000 0.3303
0.5000 0.5000 0.8303
0.1909 0.1909 0.5083
0.1923 0.1923 0.8239
0.2082 0.2082 0.1654
0.2918 0.7082 0.6654
0.3077 0.6923 0.3239
0.3091 0.6909 0.0083
0.6909 0.3091 0.0083
0.6923 0.3077 0.3239
0.7082 0.2918 0.6654
0.7918 0.7918 0.1654
0.8077 0.8077 0.8239
0.8091 0.8091 0.5083
```